An optimized crystal structure of Ho2AlNi3. Source: the Alexandria database, functional PBE.

calculated density: 9.1 g/cm3
symmetry: P6_3/mmc (194)
ΔE_f: -0.524 eV per atom
volume: 195 Å³/cell

Cell: 5.272 5.272 8.097 Å, 90.00 90.00 120.00°
Positions (direct):
Ho  0.667  0.333  0.442
Ho  0.333  0.667  0.558
Ho  0.333  0.667  0.942
Ho  0.667  0.333  0.058
Al  0.000  0.000  0.500
Al  0.000  0.000  0.000
Ni  0.168  0.336  0.250
Ni  0.336  0.168  0.750
Ni  0.832  0.664  0.750
Ni  0.168  0.832  0.250
Ni  0.832  0.168  0.750
Ni  0.664  0.832  0.250

***

An optimized crystal structure of TePd3Se. Source: the Alexandria database, functional PBE.

distance to the lowest polymorph of the same formula: 0.0 meV/atom
calculated density: 8.2 g/cm3
symmetry: P2_1/m (11)
uncorrected formation energy: -0.221 eV/atom
volume: 213 Å³/cell

Cell: 4.547 7.082 7.448 Å, 117.13 90.00 90.00°
Positions (direct):
Te  0.250  0.326  0.192
Te  0.750  0.674  0.808
Pd  0.250  0.902  0.877
Pd  0.750  0.098  0.123
Pd  0.250  0.000  0.298
Pd  0.750  0.000  0.702
Pd  0.250  0.462  0.599
Pd  0.750  0.538  0.401
Se  0.250  0.154  0.680
Se  0.750  0.846  0.320

***

An optimized crystal structure of Li7OsN4. Source: the Alexandria database, functional PBE.

calculated density: 4.2 g/cm3
symmetry: Pa-3 (205)
uncorrected formation energy: -0.325 eV/atom
volume: 933 Å³/cell

Cell: 9.773 9.773 9.773 Å, 90.00 90.00 90.00°
Last column: magnetic moment on the atom in μB.
Positions (direct):
Li  0.366  0.634  0.134  0.01
Li  0.634  0.134  0.366  0.01
Li  0.134  0.366  0.634  0.01
Li  0.866  0.866  0.866  0.01
Li  0.634  0.366  0.866  0.01
Li  0.366  0.866  0.634  0.01
Li  0.866  0.634  0.366  0.01
Li  0.134  0.134  0.134  0.01
Li  0.368  0.629  0.383  0.00
Li  0.632  0.129  0.117  0.00
Li  0.132  0.371  0.883  0.00
Li  0.868  0.871  0.617  0.00
Li  0.383  0.368  0.629  0.00
Li  0.117  0.632  0.129  0.00
Li  0.883  0.132  0.371  0.00
Li  0.617  0.868  0.871  0.00
Li  0.629  0.383  0.368  0.00
Li  0.129  0.117  0.632  0.00
Li  0.371  0.883  0.132  0.00
Li  0.871  0.617  0.868  0.00
Li  0.632  0.371  0.617  0.00
Li  0.368  0.871  0.883  0.00
Li  0.868  0.629  0.117  0.00
Li  0.132  0.129  0.383  0.00
Li  0.617  0.632  0.371  0.00
Li  0.883  0.368  0.871  0.00
Li  0.117  0.868  0.629  0.00
Li  0.383  0.132  0.129  0.00
Li  0.371  0.617  0.632  0.00
Li  0.871  0.883  0.368  0.00
Li  0.629  0.117  0.868  0.00
Li  0.129  0.383  0.132  0.00
Li  0.397  0.864  0.383  0.00
Li  0.603  0.364  0.117  0.00
Li  0.103  0.136  0.883  0.00
Li  0.897  0.636  0.617  0.00
Li  0.383  0.397  0.864  0.00
Li  0.117  0.603  0.364  0.00
Li  0.883  0.103  0.136  0.00
Li  0.617  0.897  0.636  0.00
Li  0.864  0.383  0.397  0.00
Li  0.364  0.117  0.603  0.00
Li  0.136  0.883  0.103  0.00
Li  0.636  0.617  0.897  0.00
Li  0.603  0.136  0.617  0.00
Li  0.397  0.636  0.883  0.00
Li  0.897  0.864  0.117  0.00
Li  0.103  0.364  0.383  0.00
Li  0.617  0.603  0.136  0.00
Li  0.883  0.397  0.636  0.00
Li  0.117  0.897  0.864  0.00
Li  0.383  0.103  0.364  0.00
Li  0.136  0.617  0.603  0.00
Li  0.636  0.883  0.397  0.00
Li  0.864  0.117  0.897  0.00
Li  0.364  0.383  0.103  0.00
Os  0.130  0.870  0.370  0.53
Os  0.870  0.370  0.130  0.53
Os  0.370  0.130  0.870  0.53
Os  0.630  0.630  0.630  0.53
Os  0.870  0.130  0.630  0.53
Os  0.130  0.630  0.870  0.53
Os  0.630  0.870  0.130  0.53
Os  0.370  0.370  0.370  0.53
N  0.244  0.756  0.256  0.07
N  0.756  0.256  0.244  0.07
N  0.256  0.244  0.756  0.07
N  0.744  0.744  0.744  0.07
N  0.756  0.244  0.744  0.07
N  0.244  0.744  0.756  0.07
N  0.744  0.756  0.244  0.07
N  0.256  0.256  0.256  0.07
N  0.017  0.991  0.256  0.08
N  0.983  0.491  0.244  0.08
N  0.483  0.009  0.756  0.08
N  0.517  0.509  0.744  0.08
N  0.256  0.017  0.991  0.08
N  0.244  0.983  0.491  0.08
N  0.756  0.483  0.009  0.08
N  0.744  0.517  0.509  0.08
N  0.991  0.256  0.017  0.08
N  0.491  0.244  0.983  0.08
N  0.009  0.756  0.483  0.08
N  0.509  0.744  0.517  0.08
N  0.983  0.009  0.744  0.08
N  0.017  0.509  0.756  0.08
N  0.517  0.991  0.244  0.08
N  0.483  0.491  0.256  0.08
N  0.744  0.983  0.009  0.08
N  0.756  0.017  0.509  0.08
N  0.244  0.517  0.991  0.08
N  0.256  0.483  0.491  0.08
N  0.009  0.744  0.983  0.08
N  0.509  0.756  0.017  0.08
N  0.991  0.244  0.517  0.08
N  0.491  0.256  0.483  0.08

***

An optimized crystal structure of Cd2I3. Source: the Alexandria database, functional PBE.

calculated density: 5.4 g/cm3
symmetry: R-3c (167)
uncorrected formation energy: -0.356 eV/atom
volume: 375 Å³/cell

Cell: 7.668 7.668 8.587 Å, 63.48 63.48 60.00°
Positions (direct):
I  0.072  0.750  0.750
I  0.750  0.428  0.750
I  0.428  0.072  0.750
I  0.250  0.572  0.250
I  0.572  0.928  0.250
I  0.928  0.250  0.250
Cd  0.840  0.840  0.479
Cd  0.340  0.340  0.979
Cd  0.160  0.160  0.521
Cd  0.660  0.660  0.021

***

An optimized crystal structure of Pm6InSb2Te3. Source: the Alexandria database, functional PBE.

calculated density: 7.0 g/cm3
symmetry: C2/m (12)
uncorrected formation energy: -1.195 eV/atom
volume: 384 Å³/cell

Cell: 4.447 9.057 10.045 Å, 103.09 102.79 90.00°
Positions (direct):
Pm  0.336  0.913  0.672
Pm  0.669  0.578  0.339
Pm  0.664  0.087  0.328
Pm  0.001  0.247  0.002
Pm  0.999  0.753  0.998
Pm  0.331  0.422  0.661
In  0.500  0.000  0.000
Sb  0.834  0.667  0.667
Sb  0.166  0.333  0.333
Te  0.500  0.500  0.000
Te  0.832  0.167  0.664
Te  0.168  0.833  0.336

***

An optimized crystal structure of Cd2FeHg. Source: the Alexandria database, functional PBE.

calculated density: 10.4 g/cm3
symmetry: Pm (6)
ΔE_f: 0.323 eV per atom
volume: 77 Å³/cell

Cell: 4.210 3.001 6.577 Å, 68.30 90.00 90.00°
Last column: magnetic moment on the atom in μB.
Positions (direct):
Cd  0.000  0.982  0.005  -0.01
Cd  0.500  0.244  0.268  -0.04
Fe  0.000  0.519  0.498  2.77
Hg  0.500  0.756  0.729  -0.02

***

An optimized crystal structure of PrMgAgAu. Source: the Alexandria database, functional PBE.

calculated density: 8.5 g/cm3
symmetry: F-43m (216)
ΔE_f: -0.501 eV per atom
volume: 92 Å³/cell

Cell: 5.060 5.060 5.060 Å, 60.00 60.00 60.00°
Positions (direct):
Pr  0.500  0.500  0.500
Mg  0.000  0.000  0.000
Au  0.250  0.250  0.250
Ag  0.750  0.750  0.750

***

An optimized crystal structure of YInRe. Source: the Alexandria database, functional PBE.

distance to the lowest polymorph of the same formula: 0.0 meV/atom
calculated density: 10.1 g/cm3
symmetry: I4mm (107)
ΔE_f: 0.214 eV per atom
volume: 64 Å³/cell

Cell: 5.667 5.667 5.667 Å, 143.45 143.45 52.65°
Positions (direct):
In  0.979  0.979  0.000
Re  0.343  0.343  0.000
Y  0.678  0.678  0.000

***

An optimized crystal structure of LiYCuGe2. Source: the Alexandria database, functional PBE.

calculated density: 5.8 g/cm3
symmetry: I-4m2 (119)
ΔE_f: -0.564 eV per atom
volume: 87 Å³/cell

Cell: 4.045 4.045 6.047 Å, 109.54 109.54 90.00°
Positions (direct):
Li  0.750  0.250  0.500
Y  0.000  0.000  0.000
Cu  0.250  0.750  0.500
Ge  0.616  0.616  0.232
Ge  0.384  0.384  0.768

***

An optimized crystal structure of DyZnGa2Cu. Source: the Alexandria database, functional PBE.

calculated density: 8.0 g/cm3
symmetry: I-4m2 (119)
ΔE_f: -0.430 eV per atom
volume: 89 Å³/cell

Cell: 4.116 4.116 6.008 Å, 110.03 110.03 90.00°
Positions (direct):
Dy  0.000  0.000  0.000
Zn  0.750  0.250  0.500
Ga  0.616  0.616  0.232
Ga  0.384  0.384  0.768
Cu  0.250  0.750  0.500

***

What are the DOS at the Fermi energy values for these records? In order: 4.8 2.9 4.6 2.8 3.7 2.9 3.1 3.7 1.2 2.3 states/eV/f.u..